# 1
{"formula": "Zr2GaAs2", "functional": "PBE", "state": "optimized geometry", "cell": [[-3.3264, -5.9964, 2.8997], [4.2993, 0.5426, 6.0541], [-2.4383, 2.0990, 1.5434]], "species": ["As", "As", "As", "As", "Ga", "Ga", "Zr", "Zr", "Zr", "Zr"], "frac_coords": [[0.3562, 0.8562, 0.0000], [0.8562, 0.6438, 0.0000], [0.6438, 0.1438, 0.0000], [0.1438, 0.3562, 0.0000], [0.0000, 0.0000, 0.0000], [0.5000, 0.5000, 0.0000], [0.1505, 0.6505, 0.5000], [0.6505, 0.8495, 0.5000], [0.8495, 0.3495, 0.5000], [0.3495, 0.1505, 0.5000]], "final_energy_ev_per_atom": -6.54, "de_polymorph_mev_per_atom": 70.6, "delta_e_f_mev_per_atom": -656, "rho_g_cm3": 6.75}

---

# 2
{"formula": "Ac5TbSm2", "functional": "PBE", "state": "optimized geometry", "cell": [[-0.0461, 5.4914, -0.5135], [-5.6515, -0.5241, -5.0968], [-10.2638, 0.9687, 11.2812]], "species": ["Ac", "Ac", "Ac", "Ac", "Ac", "Ac", "Ac", "Ac", "Ac", "Ac", "Tb", "Tb", "Sm", "Sm", "Sm", "Sm"], "frac_coords": [[0.5000, 0.2617, 0.1207], [0.5000, 0.7383, 0.8793], [0.5000, 0.7617, 0.3793], [0.5000, 0.2383, 0.6207], [0.0000, 0.9861, 0.7456], [0.0000, 0.0139, 0.2544], [0.0000, 0.4861, 0.7544], [0.0000, 0.5139, 0.2456], [0.0000, 0.5000, 0.5000], [0.0000, 0.0000, 0.0000], [0.0000, 0.0000, 0.5000], [0.0000, 0.5000, 0.0000], [0.5000, 0.2587, 0.3759], [0.5000, 0.7413, 0.6241], [0.5000, 0.2413, 0.8759], [0.5000, 0.7587, 0.1241]], "final_energy_ev_per_atom": -4.29, "delta_e_f_mev_per_atom": 41, "rho_g_cm3": 8.24}

---

# 3
{"formula": "NpZn3Au", "functional": "PBE", "state": "optimized geometry", "cell": [[-2.2163, 1.5210, 1.0539], [0.3048, -2.3468, 4.0279], [8.3126, 8.9395, 4.5795]], "species": ["Np", "Np", "Zn", "Zn", "Zn", "Zn", "Zn", "Zn", "Au", "Au"], "frac_coords": [[0.0000, 0.2500, 0.1570], [0.0000, 0.7500, 0.8430], [0.0000, 0.2500, 0.5630], [0.0000, 0.7500, 0.4370], [0.5000, 0.2500, 0.9477], [0.5000, 0.7500, 0.0523], [0.5000, 0.2500, 0.7377], [0.5000, 0.7500, 0.2623], [0.5000, 0.7500, 0.6210], [0.5000, 0.2500, 0.3790]], "final_energy_ev_per_atom": -4.09, "de_polymorph_mev_per_atom": 0.0, "delta_e_f_mev_per_atom": -86, "rho_g_cm3": 11.90}

---

# 4
{"formula": "Ca2Mg2Cu", "functional": "PBE", "state": "optimized geometry", "cell": [[-6.2026, -6.4865, -3.7196], [-8.8088, -1.5719, -3.7839], [8.5100, 4.5285, 1.2063]], "species": ["Ca", "Ca", "Mg", "Mg", "Cu"], "frac_coords": [[0.5906, 0.5906, 0.0000], [0.4094, 0.4094, 0.0000], [0.7500, 0.2500, 0.5000], [0.2500, 0.7500, 0.5000], [0.0000, 0.0000, 0.0000]], "final_energy_ev_per_atom": -2.11, "de_polymorph_mev_per_atom": 237.4, "delta_e_f_mev_per_atom": 153, "rho_g_cm3": 2.22}